Material: K2NdVO4
Method: DFT, PBE+U
State: optimized geometry

The structure in CIF format:
```
data_K2NdVO4
_cell_length_a 5.7448
_cell_length_b 5.7448
_cell_length_c 5.7448
_cell_angle_alpha 115.01
_cell_angle_beta 115.01
_cell_angle_gamma 98.88
_symmetry_space_group_name_H-M 'P 1'
_symmetry_Int_Tables_number 1
loop_
_symmetry_equiv_pos_as_xyz
'x,y,z'
loop_
_atom_site_label
_atom_site_type_symbol
_atom_site_fract_x
_atom_site_fract_y
_atom_site_fract_z
K1 K 0.0000 0.0000 0.0000
K2 K 0.7500 0.2500 0.5000
Nd1 Nd 0.2500 0.7500 0.5000
V1 V 0.5000 0.5000 0.0000
O1 O 0.2767 0.6851 0.0941
O2 O 0.3149 0.4089 0.5916
O3 O 0.5911 0.1827 0.9059
O4 O 0.8173 0.7233 0.4084
```

Properties
- volume (Å³/atom) = 17.79
- energy (eV per atom) = -6.333